Entry from Alexandria: a relaxed structure of Tl2AgIrO4 (PBE).

Output
Energy relative to the elements, uncorrected ... -3.0 eV per formula unit
DOS(E_F) ... 30.57 states/eV/cell
E ... -313.942 eV for the cell shown
Size of the total moment ... 0.25 μB/atom
Mass density ... 6975 kg/m³

abc: 6.7579 12.3173 17.6844
angles: 90.00 90.00 90.00
Space group Fddd (No. 70, origin choice 2)
One atom of each set of equivalent atoms:
Tl: 0.1250 0.1250 0.2912 x16
Ag: 0.1250 0.1250 0.1250 x8
Ir: 0.1250 0.1250 0.6250 x8
O: 0.0745 0.2685 0.8722 x32